(1)
The following is a PBE-GGA calculation of a relaxed structure of Tm3In3Cu2Ir, from the Open Quantum Materials Database.

Output
The value obtained for the total energy is -42.19 eV/cell. As for the space group: P-62m.

a = 7.4516 Å, b = 7.4516 Å, c = 3.9293 Å
α = 90.00°, β = 90.00°, γ = 120.00°
Element x y z (fractional)
Tm1 0.0000 0.3994 0.0000
Tm2 0.3994 0.0000 0.0000
Tm3 0.6006 0.6006 0.0000
In1 0.0000 0.7350 0.5000
In2 0.2650 0.2650 0.5000
In3 0.7350 0.0000 0.5000
Cu1 0.3333 0.6667 0.5000
Cu2 0.6667 0.3333 0.5000
Ir1 0.0000 0.0000 0.0000

=====

(2)
The following is a PBE-GGA calculation of a relaxed structure of Y2TmIn3CuIr2, from the Open Quantum Materials Database.

Output
The value obtained for the total energy is -52.70 eV/cell. As for the space group: Amm2.

a = 3.7603 Å, b = 7.6146 Å, c = 7.6146 Å
α = 119.54°, β = 90.00°, γ = 90.00°
Element x y z (fractional)
Y1 0.0000 0.2053 0.7947
Y2 0.0000 0.7947 0.2053
Tm1 0.0000 0.3842 0.3842
In1 0.5000 0.0517 0.0517
In2 0.5000 0.5372 0.7950
In3 0.5000 0.7950 0.5372
Cu1 0.0000 0.7931 0.7931
Ir1 0.5000 0.1337 0.4602
Ir2 0.5000 0.4602 0.1337

=====

(3)
The following is a PBE-GGA calculation of a relaxed structure of InCuIrW, from the Open Quantum Materials Database.

Output
As for the relative energy among the computed polymorphs: 0.0 meV/atom. As for the space group: F-43m.

a = 6.3194 Å, b = 6.3194 Å, c = 6.3194 Å
α = 90.00°, β = 90.00°, γ = 90.00°
Element x y z (fractional)
In1 0.0000 0.0000 0.0000
In2 0.0000 0.5000 0.5000
In3 0.5000 0.0000 0.5000
In4 0.5000 0.5000 0.0000
Cu1 0.2500 0.2500 0.2500
Cu2 0.2500 0.7500 0.7500
Cu3 0.7500 0.2500 0.7500
Cu4 0.7500 0.7500 0.2500
Ir1 0.2500 0.2500 0.7500
Ir2 0.2500 0.7500 0.2500
Ir3 0.7500 0.2500 0.2500
Ir4 0.7500 0.7500 0.7500
W1 0.0000 0.0000 0.5000
W2 0.0000 0.5000 0.0000
W3 0.5000 0.0000 0.0000
W4 0.5000 0.5000 0.5000

=====

(4)
The following is a PBE-GGA calculation of a relaxed structure of InCuIrW, from the Open Quantum Materials Database.

Output
As for the relative energy among the computed polymorphs: 99.7 meV/atom. As for the space group: F-43m.

a = 6.3351 Å, b = 6.3351 Å, c = 6.3351 Å
α = 90.00°, β = 90.00°, γ = 90.00°
Element x y z (fractional)
In1 0.0000 0.0000 0.0000
In2 0.0000 0.5000 0.5000
In3 0.5000 0.0000 0.5000
In4 0.5000 0.5000 0.0000
Cu1 0.2500 0.2500 0.2500
Cu2 0.2500 0.7500 0.7500
Cu3 0.7500 0.2500 0.7500
Cu4 0.7500 0.7500 0.2500
Ir1 0.0000 0.0000 0.5000
Ir2 0.0000 0.5000 0.0000
Ir3 0.5000 0.0000 0.0000
Ir4 0.5000 0.5000 0.5000
W1 0.2500 0.2500 0.7500
W2 0.2500 0.7500 0.2500
W3 0.7500 0.2500 0.2500
W4 0.7500 0.7500 0.7500

=====

(5)
The following is a PBE-GGA calculation of a relaxed structure of ZnInCuIr, from the Open Quantum Materials Database.

Output
As for the relative energy among the computed polymorphs: 0.0 meV/atom. As for the space group: F-43m.

a = 6.2781 Å, b = 6.2781 Å, c = 6.2781 Å
α = 90.00°, β = 90.00°, γ = 90.00°
Element x y z (fractional)
Zn1 0.0000 0.0000 0.0000
Zn2 0.0000 0.5000 0.5000
Zn3 0.5000 0.0000 0.5000
Zn4 0.5000 0.5000 0.0000
In1 0.0000 0.0000 0.5000
In2 0.0000 0.5000 0.0000
In3 0.5000 0.0000 0.0000
In4 0.5000 0.5000 0.5000
Cu1 0.2500 0.2500 0.7500
Cu2 0.2500 0.7500 0.2500
Cu3 0.7500 0.2500 0.2500
Cu4 0.7500 0.7500 0.7500
Ir1 0.2500 0.2500 0.2500
Ir2 0.2500 0.7500 0.7500
Ir3 0.7500 0.2500 0.7500
Ir4 0.7500 0.7500 0.2500

=====

(6)
The following is a PBE-GGA calculation of a relaxed structure of KInCuS3, from the Open Quantum Materials Database.

Output
The value obtained for the total energy is -47.25 eV/cell. As for the space group: P2_1/m.

a = 8.5942 Å, b = 3.8098 Å, c = 9.3193 Å
α = 90.00°, β = 107.17°, γ = 90.00°
Element x y z (fractional)
K1 0.2034 0.2500 0.2385
K2 0.7966 0.7500 0.7615
In1 0.3342 0.7500 0.8749
In2 0.6658 0.2500 0.1251
Cu1 0.0841 0.2500 0.5950
Cu2 0.9159 0.7500 0.4050
S1 0.1209 0.2500 0.8549
S2 0.1913 0.7500 0.5291
S3 0.4697 0.7500 0.1644
S4 0.5303 0.2500 0.8356
S5 0.8087 0.2500 0.4709
S6 0.8791 0.7500 0.1451

=====

(7)
The following is a PBE-GGA calculation of a relaxed structure of K2In3CuSe6, from the Open Quantum Materials Database.

Output
The value obtained for the total energy is -176.59 eV/cell. As for the space group: C2/c.

a = 8.2425 Å, b = 8.2425 Å, c = 21.6802 Å
α = 95.46°, β = 95.46°, γ = 90.06°
Element x y z (fractional)
K1 0.1048 0.7377 0.9168
K2 0.2623 0.8952 0.5832
K3 0.2791 0.3964 0.5832
K4 0.3964 0.2791 0.0832
K5 0.6036 0.7209 0.9168
K6 0.7209 0.6036 0.4168
K7 0.7377 0.1048 0.4168
K8 0.8952 0.2623 0.0832
In1 0.0610 0.9390 0.7500
In2 0.1535 0.7779 0.1150
In3 0.2209 0.3463 0.3852
In4 0.2221 0.8465 0.3850
In5 0.3463 0.2209 0.8852
In6 0.4363 0.5637 0.2500
In7 0.5637 0.4363 0.7500
In8 0.6537 0.7791 0.1148
In9 0.7779 0.1535 0.6150
In10 0.7791 0.6537 0.6148
In11 0.8465 0.2221 0.8850
In12 0.9390 0.0610 0.2500
Cu1 0.0621 0.4370 0.7500
Cu2 0.4370 0.0621 0.2500
Cu3 0.5630 0.9379 0.7500
Cu4 0.9379 0.5630 0.2500
Se1 0.0637 0.1834 0.6804
Se2 0.0642 0.6581 0.6801
Se3 0.1149 0.2473 0.9603
Se4 0.1569 0.5253 0.1805
Se5 0.1834 0.0637 0.1804
Se6 0.2338 0.6155 0.4602
Se7 0.2473 0.1149 0.4603
Se8 0.3181 0.4736 0.8200
Se9 0.3419 0.9358 0.8199
Se10 0.3845 0.7662 0.0398
Se11 0.4736 0.3181 0.3200
Se12 0.4747 0.8431 0.3195
Se13 0.5253 0.1569 0.6805
Se14 0.5264 0.6819 0.6800
Se15 0.6155 0.2338 0.9602
Se16 0.6581 0.0642 0.1801
Se17 0.6819 0.5264 0.1800
Se18 0.7527 0.8851 0.5397
Se19 0.7662 0.3845 0.5398
Se20 0.8166 0.9363 0.8196
Se21 0.8431 0.4747 0.8195
Se22 0.8851 0.7527 0.0397
Se23 0.9358 0.3419 0.3199
Se24 0.9363 0.8166 0.3196

=====

(8)
The following is a PBE-GGA calculation of a relaxed structure of KInCuTe3, from the Open Quantum Materials Database.

Output
The value obtained for the total energy is -38.73 eV/cell. As for the space group: P2_1/m.

a = 9.9513 Å, b = 4.1140 Å, c = 10.1601 Å
α = 90.00°, β = 110.38°, γ = 90.00°
Element x y z (fractional)
K1 0.2075 0.2500 0.2436
K2 0.7925 0.7500 0.7564
In1 0.3283 0.7500 0.8623
In2 0.6717 0.2500 0.1377
Cu1 0.0669 0.2500 0.5790
Cu2 0.9331 0.7500 0.4210
Te1 0.1106 0.2500 0.8530
Te2 0.2112 0.7500 0.5352
Te3 0.4668 0.7500 0.1703
Te4 0.5332 0.2500 0.8297
Te5 0.7888 0.2500 0.4648
Te6 0.8894 0.7500 0.1470